Compound: LaCu4
Source: Alexandria via LeMat-Bulk
Functional: PBE-GGA
Structure: optimized geometry

a = 11.509 Å, b = 11.509 Å, c = 11.509 Å
α = 134.47°, β = 134.47°, γ = 66.35°
Atoms (fractional coordinates):
La: 0.000 0.000 0.000
La: 0.052 0.552 0.500
La: 0.129 0.374 0.755
La: 0.207 0.207 0.000
La: 0.448 0.948 0.500
La: 0.619 0.374 0.245
La: 0.626 0.381 0.755
La: 0.626 0.871 0.245
La: 0.793 0.793 0.000
Cu: 0.005 0.505 0.009
Cu: 0.005 0.995 0.500
Cu: 0.113 0.040 0.395
Cu: 0.113 0.718 0.073
Cu: 0.151 0.794 0.357
Cu: 0.206 0.563 0.357
Cu: 0.206 0.849 0.643
Cu: 0.246 0.246 0.492
Cu: 0.246 0.754 0.000
Cu: 0.282 0.355 0.395
Cu: 0.282 0.887 0.927
Cu: 0.331 0.076 0.746
Cu: 0.331 0.585 0.254
Cu: 0.365 0.079 0.286
Cu: 0.386 0.542 0.844
Cu: 0.415 0.669 0.746
Cu: 0.437 0.794 0.643
Cu: 0.458 0.302 0.844
Cu: 0.458 0.614 0.156
Cu: 0.495 0.505 0.500
Cu: 0.495 0.995 0.991
Cu: 0.553 0.209 0.344
Cu: 0.645 0.040 0.927
Cu: 0.645 0.718 0.605
Cu: 0.698 0.542 0.156
Cu: 0.754 0.246 0.000
Cu: 0.754 0.754 0.508
Cu: 0.791 0.134 0.344
Cu: 0.791 0.447 0.656
Cu: 0.794 0.079 0.714
Cu: 0.866 0.209 0.656
Cu: 0.921 0.206 0.286
Cu: 0.921 0.635 0.714
Cu: 0.924 0.669 0.254
Cu: 0.960 0.355 0.073
Cu: 0.960 0.887 0.605

Output
Crystal system = tetragonal
Formation energy from the elements = -0.16 eV/atom
Total moment = 0.000 μB per atom
Density = 7.7 g/cm3